No. 1
# Sc3Ta (PBE, relaxed)
data_Sc3Ta
_cell_length_a 4.436
_cell_length_b 4.436
_cell_length_c 4.436
_cell_angle_alpha 90.00
_cell_angle_beta 90.00
_cell_angle_gamma 90.00
_symmetry_space_group_name_H-M 'P m -3 m'
_symmetry_Int_Tables_number 221
_symmetry_space_group_name_Hall '-P 4 2 3'
loop_
_atom_site_label
_atom_site_type_symbol
_atom_site_fract_x
_atom_site_fract_y
_atom_site_fract_z
_atom_site_occupancy
Sc1 Sc 0.000 0.000 0.500 1
Ta1 Ta 0.500 0.500 0.500 1
# size of the total moment: 0.00 μB/f.u.
# calculated volume: 21.82 A^3/atom
# E above lowest polymorph: 63 meV per atom

=====

No. 2
# CaAc3Dy (PBE, relaxed)
data_CaAc3Dy
_cell_length_a 3.892
_cell_length_b 10.327
_cell_length_c 10.949
_cell_angle_alpha 74.58
_cell_angle_beta 90.00
_cell_angle_gamma 79.16
_symmetry_space_group_name_H-M 'P -1'
_symmetry_Int_Tables_number 2
_symmetry_space_group_name_Hall '-P 1'
loop_
_atom_site_label
_atom_site_type_symbol
_atom_site_fract_x
_atom_site_fract_y
_atom_site_fract_z
_atom_site_occupancy
Ca1 Ca 0.097 0.306 0.048 1
Ac1 Ac 0.302 0.895 0.158 1
Ac2 Ac 0.302 0.896 0.645 1
Ac3 Ac 0.500 0.499 0.728 1
Dy1 Dy 0.101 0.297 0.551 1
# size of the total moment: 0.00 μB/f.u.
# calculated volume: 41.61 A^3/atom
# DFT total energy: -3.737 eV/atom

=====

No. 3
# Na2AlCuF6 (PBE, relaxed)
data_Na2AlCuF6
_cell_length_a 5.438
_cell_length_b 5.537
_cell_length_c 5.556
_cell_angle_alpha 100.60
_cell_angle_beta 112.56
_cell_angle_gamma 112.51
_symmetry_space_group_name_H-M 'P -1'
_symmetry_Int_Tables_number 2
_symmetry_space_group_name_Hall '-P 1'
loop_
_atom_site_label
_atom_site_type_symbol
_atom_site_fract_x
_atom_site_fract_y
_atom_site_fract_z
_atom_site_occupancy
Na1 Na 0.009 0.284 0.226 1
Al1 Al 0.500 0.500 0.000 1
Cu1 Cu 0.500 0.000 0.500 1
F1 F 0.147 0.175 0.868 1
F2 F 0.322 0.572 0.693 1
F3 F 0.353 0.687 0.179 1
# size of the total moment: 0.07 μB/f.u.
# calculated volume: 13.15 A^3/atom
# energy relative to the elements, uncorrected: -2733 meV/atom
# E above lowest polymorph: 0 meV per atom

=====

| no. | N(E_F) (states/eV/cell) |
| --- | --- |
| 1 | 5.1 |
| 2 | 16.8 |
| 3 | 0.0 |